[1]
The following is a PBE calculation of a relaxed KZrIn2Br6 crystal, from the Open Quantum Materials Database.

Unit cell a=8.1554 b=8.1554 c=8.1554 alpha=60.00 beta=60.00 gamma=60.00
Atoms (fractional coordinates):
K 0.0000 0.0000 0.0000
Zr 0.5000 0.5000 0.5000
In 0.2500 0.2500 0.2500
In 0.7500 0.7500 0.7500
Br 0.2679 0.2679 0.7321
Br 0.2679 0.7321 0.2679
Br 0.2679 0.7321 0.7321
Br 0.7321 0.2679 0.2679
Br 0.7321 0.2679 0.7321
Br 0.7321 0.7321 0.2679

- Crystal system: cubic
- Space group: Fm-3m, No. 225
- Final energy: -3.54 eV/atom

=====

[2]
The following is a PBE calculation of a relaxed La2NdInBr3 crystal, from the Open Quantum Materials Database.

Unit cell a=6.2226 b=6.2226 c=6.1815 alpha=90.00 beta=90.00 gamma=90.00
Atoms (fractional coordinates):
La 0.0000 0.5000 0.0000
La 0.5000 0.0000 0.0000
Nd 0.0000 0.0000 0.5000
In 0.0000 0.0000 0.0000
Br 0.0000 0.5000 0.5000
Br 0.5000 0.0000 0.5000
Br 0.5000 0.5000 0.0000

- Crystal system: tetragonal
- Space group: P4/mmm, No. 123
- Final energy: -4.48 eV/atom

=====

[3]
The following is a PBE calculation of a relaxed LaPr2InBr3 crystal, from the Open Quantum Materials Database.

Unit cell a=6.1847 b=6.1847 c=6.2171 alpha=90.00 beta=90.00 gamma=90.00
Atoms (fractional coordinates):
La 0.0000 0.0000 0.0000
Pr 0.0000 0.5000 0.5000
Pr 0.5000 0.0000 0.5000
In 0.0000 0.0000 0.5000
Br 0.0000 0.5000 0.0000
Br 0.5000 0.0000 0.0000
Br 0.5000 0.5000 0.5000

- Crystal system: tetragonal
- Space group: P4/mmm, No. 123
- Final energy: -4.44 eV/atom